This record from the Alexandria database describes crystalline BaNaEuWO6 at its relaxed geometry. The functional is PBE with a Hubbard U.

POSCAR file:
```
BaNaEuWO6
1.0
0.0000 4.1613 4.1613
4.1613 0.0000 4.1613
4.1613 4.1613 0.0000
Ba Na Eu W O
1 1 1 1 6
direct
0.0000 0.0000 0.0000
0.2500 0.2500 0.2500
0.5000 0.5000 0.5000
0.7500 0.7500 0.7500
0.5167 0.5167 0.9833
0.5167 0.9833 0.5167
0.5167 0.9833 0.9833
0.9833 0.5167 0.5167
0.9833 0.5167 0.9833
0.9833 0.9833 0.5167
```

## Properties
M_tot: 0.59 μB/atom
Uncorrected energy: -7.344 eV per atom
Crystal system: cubic

---

This record from the Alexandria database describes crystalline BaNaEuWO6 at its relaxed geometry. The functional is PBE with a Hubbard U.

POSCAR file:
```
BaNaEuWO6
1.0
0.0000 4.2553 4.2553
4.2553 0.0000 4.2553
4.2553 4.2553 0.0000
Ba Na Eu W O
1 1 1 1 6
direct
0.0000 0.0000 0.0000
0.5000 0.5000 0.5000
0.2500 0.2500 0.2500
0.7500 0.7500 0.7500
0.5204 0.5204 0.9796
0.5204 0.9796 0.5204
0.5204 0.9796 0.9796
0.9796 0.5204 0.5204
0.9796 0.5204 0.9796
0.9796 0.9796 0.5204
```

## Properties
M_tot: 0.60 μB/atom
Uncorrected energy: -7.440 eV per atom
Crystal system: cubic

---

Number 2 is which compound? BaNaEuWO6

---

Which of these has the lowest M_tot? number 1